A relaxed InSn3Pb crystal, computed with GGA-PBE.

As for the polymorph energy (0 for the lowest one): 613 meV/atom. The calculation puts the density of states at the Fermi level at 4.8 states/eV/cell. The calculated formation energy comes out at 0.681 eV/atom. For the total magnetic moment, the calculation gives 0.000 μB per cell. As for the electronic total energy: -3.010 eV/atom.

Structure (CIF):
```
data_InSn3Pb
_chemical_formula_sum 'In1 Sn3 Pb1'
_symmetry_space_group_name_H-M 'P m -3 m'
_symmetry_Int_Tables_number 221
_symmetry_space_group_name_Hall '-P 4 2 3'
_cell_length_a 5.826
_cell_length_b 5.826
_cell_length_c 5.826
_cell_angle_alpha 90.00
_cell_angle_beta 90.00
_cell_angle_gamma 90.00
loop_
_atom_site_label
_atom_site_type_symbol
_atom_site_fract_x
_atom_site_fract_y
_atom_site_fract_z
_atom_site_occupancy
In1 In 0.000 0.000 0.000 1
Sn1 Sn 0.000 0.500 0.500 1
Pb1 Pb 0.500 0.500 0.500 1
```

A relaxed In2Sn6Pb crystal, computed with GGA-PBE.

The calculation puts the density of states at the Fermi level at 8.5 states/eV/cell. The calculated formation energy comes out at 0.043 eV/atom. For the total magnetic moment, the calculation gives 0.000 μB per cell. As for the electronic total energy: -3.647 eV/atom.

Structure (CIF):
```
data_In2Sn6Pb
_chemical_formula_sum 'In4 Sn12 Pb2'
_symmetry_space_group_name_H-M 'C 1 2/m 1'
_symmetry_Int_Tables_number 12
_symmetry_space_group_name_Hall '-C 2y'
_cell_length_a 8.427
_cell_length_b 10.018
_cell_length_c 6.053
_cell_angle_alpha 90.00
_cell_angle_beta 98.11
_cell_angle_gamma 90.00
loop_
_atom_site_label
_atom_site_type_symbol
_atom_site_fract_x
_atom_site_fract_y
_atom_site_fract_z
_atom_site_occupancy
In1 In 0.162 0.000 0.164 1
Sn1 Sn 0.000 0.339 0.000 1
Sn2 Sn 0.165 0.164 0.665 1
Pb1 Pb 0.000 0.500 0.500 1
```

A relaxed In4Sn3Pb4 crystal, computed with GGA-PBE.

The calculation puts the density of states at the Fermi level at 5.1 states/eV/cell. The calculated formation energy comes out at 0.029 eV/atom. For the total magnetic moment, the calculation gives 0.000 μB per cell. As for the electronic total energy: -3.407 eV/atom.

Structure (CIF):
```
data_In4Sn3Pb4
_chemical_formula_sum 'In4 Sn3 Pb4'
_symmetry_space_group_name_H-M 'P -1'
_symmetry_Int_Tables_number 2
_symmetry_space_group_name_Hall '-P 1'
_cell_length_a 3.487
_cell_length_b 5.964
_cell_length_c 15.729
_cell_angle_alpha 91.72
_cell_angle_beta 90.14
_cell_angle_gamma 102.67
loop_
_atom_site_label
_atom_site_type_symbol
_atom_site_fract_x
_atom_site_fract_y
_atom_site_fract_z
_atom_site_occupancy
In1 In 0.053 0.077 0.320 1
In2 In 0.139 0.278 0.955 1
Sn1 Sn 0.298 0.638 0.221 1
Sn2 Sn 0.500 0.000 0.500 1
Pb1 Pb 0.227 0.457 0.595 1
Pb2 Pb 0.400 0.822 0.861 1
```